## P
# PBE GaPPb2, optimized geometry
# Space group: R-3m
# D(E_F): 2.00 states/eV/f.u.
# Magnetization: 0.000 μB/f.u.
data_GaPPb2
_chemical_formula_sum 'Ga1 P1 Pb2'
_cell_length_a 9.7734
_cell_length_b 9.7734
_cell_length_c 9.7734
_cell_angle_alpha 22.54
_cell_angle_beta 22.54
_cell_angle_gamma 22.54
_symmetry_space_group_name_H-M 'P 1'
_symmetry_Int_Tables_number 1
_symmetry_space_group_name_Hall 'P 1'
loop_
_atom_site_label
_atom_site_type_symbol
_atom_site_fract_x
_atom_site_fract_y
_atom_site_fract_z
Ga1 Ga 0.0000 0.0000 0.0000
P1 P 0.5000 0.5000 0.5000
Pb1 Pb 0.1051 0.1051 0.1051
Pb2 Pb 0.8949 0.8949 0.8949

---

## Q
# PBE GaPPb2, optimized geometry
# Space group: Fm-3m
# D(E_F): 2.46 states/eV/f.u.
# Magnetization: 0.000 μB/f.u.
data_GaPPb2
_chemical_formula_sum 'Ga1 P1 Pb2'
_cell_length_a 5.2013
_cell_length_b 5.2013
_cell_length_c 5.2013
_cell_angle_alpha 60.00
_cell_angle_beta 60.00
_cell_angle_gamma 60.00
_symmetry_space_group_name_H-M 'P 1'
_symmetry_Int_Tables_number 1
_symmetry_space_group_name_Hall 'P 1'
loop_
_atom_site_label
_atom_site_type_symbol
_atom_site_fract_x
_atom_site_fract_y
_atom_site_fract_z
Ga1 Ga 0.0000 0.0000 0.0000
P1 P 0.5000 0.5000 0.5000
Pb1 Pb 0.2500 0.2500 0.2500
Pb2 Pb 0.7500 0.7500 0.7500

---

## R
# PBE GaPPb2, optimized geometry
# Space group: I-42d
# D(E_F): 0.31 states/eV/f.u.
# Magnetization: 0.000 μB/f.u.
data_GaPPb2
_chemical_formula_sum 'Ga2 P2 Pb4'
_cell_length_a 7.7695
_cell_length_b 7.7695
_cell_length_c 7.7695
_cell_angle_alpha 131.66
_cell_angle_beta 131.66
_cell_angle_gamma 70.77
_symmetry_space_group_name_H-M 'P 1'
_symmetry_Int_Tables_number 1
_symmetry_space_group_name_Hall 'P 1'
loop_
_atom_site_label
_atom_site_type_symbol
_atom_site_fract_x
_atom_site_fract_y
_atom_site_fract_z
Ga1 Ga 0.0000 0.0000 0.0000
Ga2 Ga 0.7500 0.2500 0.5000
P1 P 0.2500 0.7500 0.5000
P2 P 0.5000 0.5000 0.0000
Pb1 Pb 0.1306 0.6250 0.0056
Pb2 Pb 0.3750 0.3806 0.5056
Pb3 Pb 0.6194 0.1250 0.9944
Pb4 Pb 0.8750 0.8694 0.4944

---

Most stable structure, least stable structure: R, P.

---

## P
# PBE Ga2PPd5, optimized geometry
# Space group: Pbam
# D(E_F): 3.14 states/eV/f.u.
# Magnetization: 0.000 μB/f.u.
data_Ga2PPd5
_chemical_formula_sum 'Ga4 P2 Pd10'
_cell_length_a 6.0426
_cell_length_b 10.2153
_cell_length_c 3.9298
_cell_angle_alpha 90.00
_cell_angle_beta 90.00
_cell_angle_gamma 90.00
_symmetry_space_group_name_H-M 'P 1'
_symmetry_Int_Tables_number 1
_symmetry_space_group_name_Hall 'P 1'
loop_
_atom_site_label
_atom_site_type_symbol
_atom_site_fract_x
_atom_site_fract_y
_atom_site_fract_z
Ga1 Ga 0.0865 0.1620 0.0000
Ga2 Ga 0.4135 0.6620 0.0000
Ga3 Ga 0.5865 0.3380 0.0000
Ga4 Ga 0.9135 0.8380 0.0000
P1 P 0.0000 0.5000 0.5000
P2 P 0.5000 0.0000 0.5000
Pd1 Pd 0.0000 0.0000 0.5000
Pd2 Pd 0.1376 0.7151 0.5000
Pd3 Pd 0.1784 0.4129 0.0000
Pd4 Pd 0.3216 0.9129 0.0000
Pd5 Pd 0.3624 0.2151 0.5000
Pd6 Pd 0.5000 0.5000 0.5000
Pd7 Pd 0.6376 0.7849 0.5000
Pd8 Pd 0.6784 0.0871 0.0000
Pd9 Pd 0.8216 0.5871 0.0000
Pd10 Pd 0.8624 0.2849 0.5000

---

## Q
# PBE Ga2PPd5, optimized geometry
# Space group: Cmcm
# D(E_F): 1.89 states/eV/f.u.
# Magnetization: 0.000 μB/f.u.
data_Ga2PPd5
_chemical_formula_sum 'Ga4 P2 Pd10'
_cell_length_a 7.2671
_cell_length_b 7.2671
_cell_length_c 11.1209
_cell_angle_alpha 90.00
_cell_angle_beta 90.00
_cell_angle_gamma 146.34
_symmetry_space_group_name_H-M 'P 1'
_symmetry_Int_Tables_number 1
_symmetry_space_group_name_Hall 'P 1'
loop_
_atom_site_label
_atom_site_type_symbol
_atom_site_fract_x
_atom_site_fract_y
_atom_site_fract_z
Ga1 Ga 0.1269 0.8731 0.5911
Ga2 Ga 0.1269 0.8731 0.9089
Ga3 Ga 0.8731 0.1269 0.0911
Ga4 Ga 0.8731 0.1269 0.4089
P1 P 0.1694 0.8306 0.2500
P2 P 0.8306 0.1694 0.7500
Pd1 Pd 0.0493 0.9507 0.1123
Pd2 Pd 0.0493 0.9507 0.3877
Pd3 Pd 0.2569 0.7431 0.7500
Pd4 Pd 0.2610 0.7390 0.0784
Pd5 Pd 0.2610 0.7390 0.4216
Pd6 Pd 0.7390 0.2610 0.5784
Pd7 Pd 0.7390 0.2610 0.9216
Pd8 Pd 0.7431 0.2569 0.2500
Pd9 Pd 0.9507 0.0493 0.6123
Pd10 Pd 0.9507 0.0493 0.8877

---

Most stable structure, least stable structure: P, Q.

---

## P
# PBE Ga3PPd, optimized geometry
# Space group: Pm-3m
# D(E_F): 2.01 states/eV/f.u.
# Magnetization: 0.000 μB/f.u.
data_Ga3PPd
_chemical_formula_sum 'Ga3 P1 Pd1'
_cell_length_a 4.7156
_cell_length_b 4.7156
_cell_length_c 4.7156
_cell_angle_alpha 90.00
_cell_angle_beta 90.00
_cell_angle_gamma 90.00
_symmetry_space_group_name_H-M 'P 1'
_symmetry_Int_Tables_number 1
_symmetry_space_group_name_Hall 'P 1'
loop_
_atom_site_label
_atom_site_type_symbol
_atom_site_fract_x
_atom_site_fract_y
_atom_site_fract_z
Ga1 Ga 0.0000 0.0000 0.5000
Ga2 Ga 0.0000 0.5000 0.0000
Ga3 Ga 0.5000 0.0000 0.0000
P1 P 0.0000 0.0000 0.0000
Pd1 Pd 0.5000 0.5000 0.5000

---

## Q
# PBE Ga3PPd, optimized geometry
# Space group: Pm-3m
# D(E_F): 4.43 states/eV/f.u.
# Magnetization: 0.000 μB/f.u.
data_Ga3PPd
_chemical_formula_sum 'Ga3 P1 Pd1'
_cell_length_a 4.7942
_cell_length_b 4.7942
_cell_length_c 4.7942
_cell_angle_alpha 90.00
_cell_angle_beta 90.00
_cell_angle_gamma 90.00
_symmetry_space_group_name_H-M 'P 1'
_symmetry_Int_Tables_number 1
_symmetry_space_group_name_Hall 'P 1'
loop_
_atom_site_label
_atom_site_type_symbol
_atom_site_fract_x
_atom_site_fract_y
_atom_site_fract_z
Ga1 Ga 0.0000 0.0000 0.5000
Ga2 Ga 0.0000 0.5000 0.0000
Ga3 Ga 0.5000 0.0000 0.0000
P1 P 0.5000 0.5000 0.5000
Pd1 Pd 0.0000 0.0000 0.0000

---

Most stable structure, least stable structure: Q, P.

---

## P
# PBE GaPPd4, optimized geometry
# Space group: Pnma
# D(E_F): 1.28 states/eV/f.u.
# Magnetization: 0.000 μB/f.u.
data_GaPPd4
_chemical_formula_sum 'Ga4 P4 Pd16'
_cell_length_a 6.6246
_cell_length_b 3.4403
_cell_length_c 15.6373
_cell_angle_alpha 90.00
_cell_angle_beta 90.00
_cell_angle_gamma 90.00
_symmetry_space_group_name_H-M 'P 1'
_symmetry_Int_Tables_number 1
_symmetry_space_group_name_Hall 'P 1'
loop_
_atom_site_label
_atom_site_type_symbol
_atom_site_fract_x
_atom_site_fract_y
_atom_site_fract_z
Ga1 Ga 0.2432 0.2500 0.1910
Ga2 Ga 0.2568 0.7500 0.6910
Ga3 Ga 0.7432 0.2500 0.3090
Ga4 Ga 0.7568 0.7500 0.8090
P1 P 0.2490 0.7500 0.4409
P2 P 0.2510 0.2500 0.9409
P3 P 0.7490 0.7500 0.0591
P4 P 0.7510 0.2500 0.5591
Pd1 Pd 0.0146 0.7500 0.5678
Pd2 Pd 0.0461 0.7500 0.2866
Pd3 Pd 0.1262 0.7500 0.8471
Pd4 Pd 0.1319 0.7500 0.0501
Pd5 Pd 0.3681 0.2500 0.5501
Pd6 Pd 0.3738 0.2500 0.3471
Pd7 Pd 0.4539 0.2500 0.7866
Pd8 Pd 0.4854 0.2500 0.0678
Pd9 Pd 0.5146 0.7500 0.9322
Pd10 Pd 0.5461 0.7500 0.2134
Pd11 Pd 0.6262 0.7500 0.6529
Pd12 Pd 0.6319 0.7500 0.4499
Pd13 Pd 0.8681 0.2500 0.9499
Pd14 Pd 0.8738 0.2500 0.1529
Pd15 Pd 0.9539 0.2500 0.7134
Pd16 Pd 0.9854 0.2500 0.4322

---

## Q
# PBE GaPPd4, optimized geometry
# Space group: C2/c
# D(E_F): 2.85 states/eV/f.u.
# Magnetization: 0.000 μB/f.u.
data_GaPPd4
_chemical_formula_sum 'Ga2 P2 Pd8'
_cell_length_a 6.5971
_cell_length_b 6.5971
_cell_length_c 4.8317
_cell_angle_alpha 101.89
_cell_angle_beta 101.89
_cell_angle_gamma 111.42
_symmetry_space_group_name_H-M 'P 1'
_symmetry_Int_Tables_number 1
_symmetry_space_group_name_Hall 'P 1'
loop_
_atom_site_label
_atom_site_type_symbol
_atom_site_fract_x
_atom_site_fract_y
_atom_site_fract_z
Ga1 Ga 0.1254 0.8746 0.7500
Ga2 Ga 0.8746 0.1254 0.2500
P1 P 0.4957 0.5043 0.7500
P2 P 0.5043 0.4957 0.2500
Pd1 Pd 0.1224 0.2796 0.8356
Pd2 Pd 0.2041 0.5639 0.4283
Pd3 Pd 0.2796 0.1224 0.3356
Pd4 Pd 0.4361 0.7959 0.0717
Pd5 Pd 0.5639 0.2041 0.9283
Pd6 Pd 0.7204 0.8776 0.6644
Pd7 Pd 0.7959 0.4361 0.5717
Pd8 Pd 0.8776 0.7204 0.1644

---

Most stable structure, least stable structure: P, Q.

---

## P
# PBE GaP2Pd8, optimized geometry
# Space group: C2/m
# D(E_F): 3.77 states/eV/f.u.
# Magnetization: 0.000 μB/f.u.
data_GaP2Pd8
_chemical_formula_sum 'Ga1 P2 Pd8'
_cell_length_a 6.4811
_cell_length_b 6.4811
_cell_length_c 4.4074
_cell_angle_alpha 98.44
_cell_angle_beta 98.44
_cell_angle_gamma 111.35
_symmetry_space_group_name_H-M 'P 1'
_symmetry_Int_Tables_number 1
_symmetry_space_group_name_Hall 'P 1'
loop_
_atom_site_label
_atom_site_type_symbol
_atom_site_fract_x
_atom_site_fract_y
_atom_site_fract_z
Ga1 Ga 0.0000 0.0000 0.0000
P1 P 0.3214 0.6786 0.5000
P2 P 0.6786 0.3214 0.5000
Pd1 Pd 0.0672 0.3256 0.5932
Pd2 Pd 0.2408 0.7592 0.0000
Pd3 Pd 0.3256 0.0672 0.5932
Pd4 Pd 0.3749 0.3749 0.1848
Pd5 Pd 0.6251 0.6251 0.8152
Pd6 Pd 0.6744 0.9328 0.4068
Pd7 Pd 0.7592 0.2408 0.0000
Pd8 Pd 0.9328 0.6744 0.4068

---

## Q
# PBE GaP2Pd8, optimized geometry
# Space group: C2/m
# D(E_F): 4.60 states/eV/f.u.
# Magnetization: 0.000 μB/f.u.
data_GaP2Pd8
_chemical_formula_sum 'Ga1 P2 Pd8'
_cell_length_a 7.5258
_cell_length_b 7.5258
_cell_length_c 5.9961
_cell_angle_alpha 111.48
_cell_angle_beta 111.48
_cell_angle_gamma 31.55
_symmetry_space_group_name_H-M 'P 1'
_symmetry_Int_Tables_number 1
_symmetry_space_group_name_Hall 'P 1'
loop_
_atom_site_label
_atom_site_type_symbol
_atom_site_fract_x
_atom_site_fract_y
_atom_site_fract_z
Ga1 Ga 0.0000 0.0000 0.0000
P1 P 0.3267 0.3267 0.3185
P2 P 0.6733 0.6733 0.6815
Pd1 Pd 0.0944 0.0944 0.4774
Pd2 Pd 0.1804 0.1804 0.9788
Pd3 Pd 0.3106 0.3106 0.6889
Pd4 Pd 0.4659 0.4659 0.2136
Pd5 Pd 0.5341 0.5341 0.7864
Pd6 Pd 0.6894 0.6894 0.3111
Pd7 Pd 0.8196 0.8196 0.0212
Pd8 Pd 0.9056 0.9056 0.5226

---

Most stable structure, least stable structure: P, Q.